Entry from Alexandria via LeMat-Bulk: Ag3WSe2F6 after structural relaxation (GGA+U).

Calculated values
Electronic total energy in Ha/atom: -0.156

Lattice parameters (Å, degrees): 4.045 7.049 8.242 115.32 86.09 90.00
Atoms (fractional coordinates):
Se 0.048 0.691 0.381
Se 0.952 0.309 0.619
Ag 0.000 0.500 0.000
Ag 0.500 0.500 0.500
Ag 0.500 0.000 0.500
F 0.713 0.853 0.120
F 0.797 0.894 0.789
F 0.287 0.733 0.880
F 0.203 0.106 0.211
F 0.287 0.147 0.880
F 0.713 0.267 0.120
W 0.500 0.000 0.000